Entry from Alexandria via LeMat-Bulk: TaAlB after structural relaxation (PBE).

```
TaAlB
1.0
-0.842 2.193 -1.867
-2.264 0.851 2.021
10.434 10.276 7.362
B Al Ta
4 4 4
direct
0.000 0.000 0.352 B
0.500 0.500 0.796 B
0.500 0.000 0.296 B
0.000 0.500 0.852 B
0.000 0.000 0.749 Al
0.000 0.500 0.020 Al
0.000 0.500 0.249 Al
0.000 0.000 0.520 Al
0.500 0.500 0.406 Ta
0.500 0.500 0.639 Ta
0.500 0.000 0.139 Ta
0.500 0.000 0.906 Ta
```

Properties
- M_tot: 0.00 μB per formula unit
- E: -91.39 eV/cell
- Relative energy among the computed polymorphs: 0.312 eV/atom
- Formation energy: -0.576 eV/f.u.

=====

Entry from Alexandria via LeMat-Bulk: Ta3AlB8 after structural relaxation (PBE).

```
Ta3AlB8
1.0
-2.375 -0.131 1.907
2.528 -1.595 0.602
5.013 10.574 6.971
Al B Ta
1 8 3
direct
0.000 0.000 0.000 Al
0.667 0.333 0.121 B
0.667 0.333 0.879 B
0.667 0.333 0.625 B
0.333 0.667 0.375 B
0.333 0.667 0.625 B
0.667 0.333 0.375 B
0.333 0.667 0.879 B
0.333 0.667 0.121 B
0.000 0.000 0.747 Ta
0.000 0.000 0.253 Ta
0.000 0.000 0.500 Ta
```

Properties
- M_tot: 0.00 μB per formula unit
- E: -98.75 eV/cell
- Formation energy: -6.025 eV/f.u.

=====

Entry from Alexandria via LeMat-Bulk: TaAlB after structural relaxation (PBE).

```
TaAlB
1.0
6.109 0.000 0.006
0.000 3.230 0.000
-1.494 0.000 8.307
Al Ta B
4 4 4
direct
0.942 0.500 0.633 Al
0.058 0.000 0.867 Al
0.058 0.500 0.367 Al
0.942 0.000 0.133 Al
0.335 0.500 0.123 Ta
0.665 0.000 0.377 Ta
0.665 0.500 0.877 Ta
0.335 0.000 0.623 Ta
0.592 0.500 0.587 B
0.408 0.500 0.413 B
0.408 0.000 0.913 B
0.592 0.000 0.087 B
```

Properties
- M_tot: 0.00 μB per formula unit
- E: -91.85 eV/cell
- Relative energy among the computed polymorphs: 0.274 eV/atom
- Formation energy: -0.690 eV/f.u.

=====

Entry from Alexandria via LeMat-Bulk: TaAl3B after structural relaxation (PBE).

```
TaAl3B
1.0
5.055 0.000 0.000
0.000 5.055 0.000
0.000 0.000 5.055
B Al Ta
1 3 1
direct
0.500 0.500 0.500 B
0.500 0.000 0.000 Al
0.000 0.000 0.500 Al
0.000 0.500 0.000 Al
0.000 0.000 0.000 Ta
```

Properties
- M_tot: 0.00 μB per formula unit
- E: -21.04 eV/cell
- Relative energy among the computed polymorphs: 1.211 eV/atom
- Formation energy: 8.718 eV/f.u.

=====

Entry from Alexandria via LeMat-Bulk: TaAlB after structural relaxation (PBE).

```
TaAlB
1.0
4.435 0.000 -0.002
0.000 3.047 0.000
-2.588 0.000 11.464
Al B Ta
4 4 4
direct
0.111 0.500 0.530 Al
0.982 0.000 0.304 Al
0.111 0.000 0.030 Al
0.982 0.500 0.804 Al
0.208 0.500 0.186 B
0.445 0.000 0.226 B
0.208 0.000 0.686 B
0.445 0.500 0.726 B
0.656 0.000 0.610 Ta
0.656 0.500 0.110 Ta
0.524 0.000 0.884 Ta
0.524 0.500 0.384 Ta
```

Properties
- M_tot: 0.00 μB per formula unit
- E: -92.29 eV/cell
- Relative energy among the computed polymorphs: 0.238 eV/atom
- Formation energy: -0.800 eV/f.u.

=====

Entry from Alexandria via LeMat-Bulk: TaAlB after structural relaxation (PBE).

```
TaAlB
1.0
-2.829 -5.508 2.600
2.892 -1.555 -0.149
3.727 6.493 4.563
B Ta Al
4 4 4
direct
0.434 0.500 0.332 B
0.434 0.000 0.832 B
0.716 0.000 0.091 B
0.716 0.500 0.591 B
0.446 0.500 0.032 Ta
0.446 0.000 0.532 Ta
0.002 0.000 0.767 Ta
0.002 0.500 0.267 Ta
0.193 0.000 0.133 Al
0.193 0.500 0.633 Al
0.728 0.000 0.368 Al
0.728 0.500 0.868 Al
```

Properties
- M_tot: 0.00 μB per formula unit
- E: -91.59 eV/cell
- Relative energy among the computed polymorphs: 0.296 eV/atom
- Formation energy: -0.626 eV/f.u.

=====

Entry from Alexandria via LeMat-Bulk: TaAlB after structural relaxation (PBE).

```
TaAlB
1.0
2.949 0.020 0.016
-0.090 4.516 0.014
-0.660 -2.007 5.947
B Al Ta
2 2 2
direct
0.262 0.595 0.541 B
0.738 0.405 0.459 B
0.329 0.128 0.703 Al
0.671 0.872 0.297 Al
0.162 0.317 0.144 Ta
0.838 0.683 0.856 Ta
```

Properties
- M_tot: 0.00 μB per formula unit
- E: -45.83 eV/cell
- Relative energy among the computed polymorphs: 0.290 eV/atom
- Formation energy: -0.644 eV/f.u.

=====

Entry from Alexandria via LeMat-Bulk: Ta4AlB2 after structural relaxation (PBE).

```
Ta4AlB2
1.0
3.182 0.000 0.000
1.591 2.756 0.000
1.591 0.919 12.178
B Al Ta
2 1 4
direct
0.097 0.097 0.708 B
0.903 0.903 0.292 B
0.000 0.000 0.000 Al
0.397 0.397 0.810 Ta
0.799 0.799 0.602 Ta
0.201 0.201 0.398 Ta
0.603 0.603 0.190 Ta
```

Properties
- M_tot: 0.00 μB per formula unit
- E: -66.64 eV/cell
- Formation energy: -2.135 eV/f.u.